A | AgSb2As | PBE-GGA | relaxed

Results
- total magnetization (μB per cell) = 0.000
- density (g/cm³) = 7.6
- crystal system = orthorhombic

Unit cell a=3.722 b=5.208 c=4.815 alpha=90.00 beta=90.00 gamma=90.00
Fractional positions:
Sb1 0.000 0.000 0.000
As1 0.000 0.500 0.500
Ag1 0.500 0.000 0.500
Sb2 0.500 0.500 0.000



B | AgSb2As | PBE-GGA | relaxed

Results
- total magnetization (μB per cell) = 0.000
- density (g/cm³) = 7.2
- crystal system = orthorhombic

Unit cell a=6.726 b=6.726 c=6.726 alpha=147.36 beta=143.04 gamma=50.12
Fractional positions:
Sb1 0.032 0.032 0.000
As1 0.211 0.711 0.500
Ag1 0.464 0.464 0.000
Sb2 0.793 0.293 0.500



C | AgSb2As | PBE-GGA | relaxed

Results
- total magnetization (μB per cell) = 0.000
- density (g/cm³) = 7.6
- crystal system = cubic

Unit cell a=5.078 b=5.078 c=5.078 alpha=60.00 beta=60.00 gamma=60.00
Fractional positions:
Ag1 0.500 0.500 0.500
As1 0.000 0.000 0.000
Sb1 0.250 0.250 0.250
Sb2 0.750 0.750 0.750



Result of the stability comparison: B is the most stable of them.



A | AgSb2As | PBE-GGA | relaxed

Results
- total magnetization (μB per cell) = 0.000
- density (g/cm³) = 7.2
- crystal system = tetragonal

Unit cell a=4.110 b=4.110 c=5.800 alpha=90.00 beta=90.00 gamma=90.00
Fractional positions:
Sb1 0.000 0.000 0.875
As1 0.500 0.500 0.867
Ag1 0.000 0.000 0.374
Sb2 0.500 0.500 0.384



B | AgSb2As | PBE-GGA | relaxed

Results
- total magnetization (μB per cell) = 0.000
- density (g/cm³) = 7.6
- crystal system = orthorhombic

Unit cell a=3.207 b=3.207 c=9.671 alpha=90.00 beta=90.00 gamma=111.39
Fractional positions:
As1 0.500 0.500 0.750
Ag1 0.500 0.500 0.250
Sb1 0.000 0.000 0.000
Sb2 0.000 0.000 0.500



C | AgSb2As | PBE-GGA | relaxed

Results
- total magnetization (μB per cell) = 0.000
- density (g/cm³) = 5.7
- crystal system = tetragonal

Unit cell a=6.347 b=6.347 c=7.664 alpha=65.54 beta=65.54 gamma=90.00
Fractional positions:
Sb1 0.875 0.876 0.750
Sb2 0.626 0.125 0.250
Sb3 0.375 0.374 0.750
As1 0.500 0.500 0.000
Ag1 0.750 0.250 0.500
As2 0.250 0.750 0.500
Sb4 0.124 0.625 0.250
Ag2 0.000 0.000 0.000



D | AgSb2As | PBE-GGA | relaxed

Results
- total magnetization (μB per cell) = 0.000
- density (g/cm³) = 7.7
- crystal system = tetragonal

Unit cell a=5.304 b=5.304 c=3.267 alpha=90.00 beta=90.00 gamma=90.05
Fractional positions:
Sb1 0.500 0.500 0.000
Ag1 0.500 0.000 0.500
As1 0.000 0.500 0.500
Sb2 0.000 0.000 0.000



Result of the stability comparison: A is the most stable of them.



A | AgSb2As | PBE-GGA | relaxed

Results
- total magnetization (μB per cell) = 0.000
- density (g/cm³) = 7.3
- crystal system = orthorhombic

Unit cell a=3.986 b=3.030 c=8.011 alpha=90.04 beta=90.00 gamma=90.00
Fractional positions:
Sb1 0.000 0.750 0.011
As1 0.500 0.750 0.750
Ag1 0.500 0.250 0.250
Sb2 0.000 0.750 0.489



B | AgSb2As | PBE-GGA | relaxed

Results
- total magnetization (μB per cell) = 0.000
- density (g/cm³) = 7.2
- crystal system = monoclinic

Unit cell a=3.985 b=3.985 c=7.442 alpha=74.18 beta=74.18 gamma=60.89
Fractional positions:
As1 0.250 0.250 0.250
Ag1 0.750 0.750 0.750
Sb1 0.501 0.501 0.498
Sb2 0.999 0.999 0.002



Result of the stability comparison: B is the most stable of them.



A | AgSbAs2 | PBE-GGA | relaxed

Results
- total magnetization (μB per cell) = 0.000
- density (g/cm³) = 7.4
- crystal system = tetragonal

Unit cell a=5.296 b=5.296 c=3.035 alpha=90.00 beta=90.00 gamma=90.00
Fractional positions:
As1 0.500 0.500 0.000
As2 0.000 0.000 0.000
Ag1 0.000 0.500 0.500
Sb1 0.500 0.000 0.500



B | AgSbAs2 | PBE-GGA | relaxed

Results
- total magnetization (μB per cell) = 0.000
- density (g/cm³) = 7.3
- crystal system = tetragonal

Unit cell a=5.426 b=5.426 c=5.426 alpha=132.11 beta=132.11 gamma=70.06
Fractional positions:
Ag1 0.750 0.250 0.500
As1 0.000 0.000 0.000
Sb1 0.250 0.750 0.500
As2 0.500 0.500 0.000



C | AgSbAs2 | PBE-GGA | relaxed

Results
- total magnetization (μB per cell) = 0.000
- density (g/cm³) = 7.1
- crystal system = tetragonal

Unit cell a=3.521 b=3.521 c=7.128 alpha=90.00 beta=90.00 gamma=90.00
Fractional positions:
As1 0.000 0.000 0.027
Sb1 0.000 0.000 0.535
Ag1 0.500 0.500 0.764
As2 0.500 0.500 0.174



Result of the stability comparison: C is the most stable of them.